# Sb2TeIr | the Alexandria database | GGA-PBE | relaxed
data_Sb2TeIr
_space_group_name_H-M_alt 'P m m m'
_space_group_IT_number 47
_cell_length_a 3.423
_cell_length_b 5.068
_cell_length_c 5.208
_cell_angle_alpha 90.00
_cell_angle_beta 90.00
_cell_angle_gamma 90.00
loop_
_space_group_symop_operation_xyz
'x,y,z'
'-x,-y,-z'
'-x,-y,z'
'x,y,-z'
'x,-y,-z'
'-x,y,z'
'-x,y,-z'
'x,-y,z'
loop_
_atom_site_label
_atom_site_type_symbol
_atom_site_fract_x
_atom_site_fract_y
_atom_site_fract_z
_atom_site_occupancy
Sb1 Sb 0.000 0.000 0.000 1
Sb2 Sb 0.500 0.500 0.000 1
Te1 Te 0.000 0.500 0.500 1
Ir1 Ir 0.500 0.000 0.500 1
# - Raw formation energy: 520 meV/atom
# - Size of the total moment: 0.00 μB/cell